P) DFT (PBE) results for a geometry-optimized Ba2Al2Rh structure.

POSCAR file:
```
Ba2Al2Rh
1.0
6.804 0.000 0.000
0.000 6.804 0.000
0.000 0.000 5.770
Rh Ba Al
2 4 4
Cartesian
0.000 0.000 0.000 Rh
3.402 3.402 0.000 Rh
1.238 4.641 2.885 Ba
4.641 5.566 2.885 Ba
5.566 2.164 2.885 Ba
2.164 1.238 2.885 Ba
2.359 5.762 0.000 Al
5.762 4.445 0.000 Al
4.445 1.043 0.000 Al
1.043 2.359 0.000 Al
```

---

Q) DFT (PBE) results for a geometry-optimized Ba2Al2Rh structure.

POSCAR file:
```
Ba2Al2Rh
1.0
1.976 5.219 2.060
-5.896 0.750 -0.235
1.584 -4.570 3.463
Ba Al Rh
2 2 1
Cartesian
-3.136 -0.417 2.070 Ba
0.800 1.817 3.218 Ba
-1.291 1.966 0.601 Al
-2.629 4.003 1.224 Al
0.000 0.000 0.000 Rh
```

---

Taking the most stable structure as the zero point, the relative energies in eV/atom are P) 0.000; Q) 0.154.

---

P) DFT (PBE) results for a geometry-optimized BaAlTeRh2 structure.

POSCAR file:
```
BaAlTeRh2
1.0
-3.828 -0.552 2.673
3.213 -3.488 3.882
1.172 3.826 2.468
Te Rh Ba Al
1 2 1 1
Cartesian
0.279 -0.107 4.511 Te
0.586 1.913 1.234 Rh
-1.914 -0.276 1.336 Rh
1.607 -1.744 1.941 Ba
0.000 0.000 0.000 Al
```

---

Q) DFT (PBE) results for a geometry-optimized BaAlTeRh2 structure.

POSCAR file:
```
BaAlTeRh2
1.0
5.023 0.000 0.000
0.000 5.023 0.000
0.000 0.000 5.349
Te Rh Ba Al
1 2 1 1
Cartesian
0.000 0.000 0.000 Te
0.000 2.512 0.000 Rh
2.512 0.000 0.000 Rh
2.512 2.512 2.674 Ba
0.000 0.000 2.674 Al
```

---

Taking the most stable structure as the zero point, the relative energies in eV/atom are P) 0.000; Q) 0.080.

---

P) DFT (PBE) results for a geometry-optimized Ba2AlSb structure.

POSCAR file:
```
Ba2AlSb
1.0
1.509 -5.700 -0.718
3.036 -2.827 4.251
-2.653 -4.207 3.247
Sb Ba Al
1 2 1
Cartesian
0.946 -6.367 3.390 Sb
0.473 -3.183 1.695 Ba
1.419 -9.550 5.085 Ba
0.000 0.000 0.000 Al
```

---

Q) DFT (PBE) results for a geometry-optimized Ba2AlSb structure.

POSCAR file:
```
Ba2AlSb
1.0
-0.072 7.326 -5.767
4.335 -5.079 -6.507
-1.218 0.015 -7.503
Sb Ba Al
2 4 2
Cartesian
0.000 0.000 0.000 Sb
0.421 4.232 -9.703 Sb
0.192 4.005 -6.339 Ba
2.396 -2.313 -6.618 Ba
0.651 0.894 -10.179 Ba
2.851 1.937 -16.418 Ba
2.131 1.123 -6.137 Al
2.624 -1.971 -10.073 Al
```

---

R) DFT (PBE) results for a geometry-optimized Ba2AlSb structure.

POSCAR file:
```
Ba2AlSb
1.0
5.866 0.000 0.000
2.933 5.080 0.000
2.933 1.693 4.790
Sb Ba Al
1 2 1
Cartesian
8.799 5.080 3.592 Sb
0.000 0.000 0.000 Ba
2.933 1.693 1.197 Ba
5.866 3.387 2.395 Al
```

---

Taking the most stable structure as the zero point, the relative energies in eV/atom are P) 0.000; Q) 0.233; R) 0.313.

---

P) DFT (PBE) results for a geometry-optimized Ba2AlSb structure.

POSCAR file:
```
Ba2AlSb
1.0
-3.499 1.953 -0.233
-0.861 -1.954 -3.398
-4.305 -7.095 5.171
Sb Ba Al
1 2 1
Cartesian
-2.443 -4.027 2.935 Sb
-3.969 -6.541 4.768 Ba
-3.597 -2.336 -0.114 Ba
-5.113 -4.834 1.707 Al
```

---

Q) DFT (PBE) results for a geometry-optimized Ba2AlSb structure.

POSCAR file:
```
Ba2AlSb
1.0
-1.606 -1.925 3.837
3.868 -3.572 -0.173
5.620 2.037 3.375
Sb Ba Al
1 2 1
Cartesian
5.430 -1.479 1.531 Sb
8.882 -1.690 2.871 Ba
2.159 -1.208 3.036 Ba
5.643 -1.385 4.405 Al
```

---

Taking the most stable structure as the zero point, the relative energies in eV/atom are P) 0.347; Q) 0.000.

---

P) DFT (PBE) results for a geometry-optimized Ba2AlSb structure.

POSCAR file:
```
Ba2AlSb
1.0
6.264 0.009 -0.001
1.620 6.051 0.001
-3.940 -3.032 3.810
Sb Ba Al
1 2 1
Cartesian
3.133 0.004 1.904 Sb
7.882 6.059 0.000 Ba
3.943 3.031 0.000 Ba
0.810 3.024 1.906 Al
```

---

Q) DFT (PBE) results for a geometry-optimized Ba2AlSb structure.

POSCAR file:
```
Ba2AlSb
1.0
5.528 0.633 0.000
-0.633 5.528 0.000
0.000 0.000 4.717
Sb Ba Al
1 2 1
Cartesian
2.764 0.316 2.358 Sb
0.000 0.000 0.000 Ba
2.447 3.081 0.000 Ba
-0.317 2.764 2.358 Al
```

---

R) DFT (PBE) results for a geometry-optimized Ba2AlSb structure.

POSCAR file:
```
Ba2AlSb
1.0
6.928 0.000 -0.019
5.560 4.133 -0.019
2.156 0.713 4.953
Sb Ba Al
1 2 1
Cartesian
7.841 2.595 2.210 Sb
12.307 4.073 0.052 Ba
11.132 3.684 3.614 Ba
3.174 1.050 1.459 Al
```

---

S) DFT (PBE) results for a geometry-optimized Ba2AlSb structure.

POSCAR file:
```
Ba2AlSb
1.0
-3.294 -4.916 0.252
0.623 -0.220 3.851
-5.786 3.936 1.160
Sb Ba Al
1 2 1
Cartesian
-2.169 1.476 0.435 Sb
-5.063 3.444 1.015 Ba
-3.506 -1.092 2.487 Ba
-6.399 0.877 3.067 Al
```

---

Taking the most stable structure as the zero point, the relative energies in eV/atom are P) 0.106; Q) 0.078; R) 0.000; S) 0.314.

---

P) DFT (PBE) results for a geometry-optimized BaScAl2 structure.

POSCAR file:
```
BaScAl2
1.0
6.928 -1.093 -0.644
6.120 3.426 -0.644
6.120 1.094 3.309
Sc Ba Al
1 1 2
Cartesian
13.486 2.411 1.422 Sc
9.745 1.742 1.027 Ba
18.769 3.356 1.979 Al
5.919 1.058 0.624 Al
```

---

Q) DFT (PBE) results for a geometry-optimized BaScAl2 structure.

POSCAR file:
```
BaScAl2
1.0
4.498 0.000 0.000
0.000 3.570 0.274
0.000 1.255 7.005
Sc Ba Al
1 1 2
Cartesian
2.249 3.780 6.277 Sc
0.000 2.210 3.340 Ba
0.000 1.937 6.900 Al
2.249 0.565 1.407 Al
```

---

Taking the most stable structure as the zero point, the relative energies in eV/atom are P) 0.025; Q) 0.000.